(1)
Below is In3SCl after structural relaxation, with properties calculated at the GGA-PBE level.

Cell and atoms, written as POSCAR:
```
In3SCl
1.0
5.737 0.000 0.000
0.000 5.737 0.000
0.000 0.000 5.737
Cl In S
1 3 1
Cartesian
2.868 2.868 2.868 Cl
0.000 0.000 2.868 In
0.000 2.868 0.000 In
2.868 0.000 0.000 In
0.000 0.000 0.000 S
```

Results
volume: 37.76 A^3/atom
density of states at the Fermi level: 2.29 states/eV/cell
E: -2.893 eV per atom
formation energy from raw total energies: -0.28 eV/f.u.



(2)
Below is InSCl after structural relaxation, with properties calculated at the GGA-PBE level.

Cell and atoms, written as POSCAR:
```
InSCl
1.0
-4.596 -4.006 2.345
0.219 -2.120 -3.193
2.246 -0.818 3.005
In Cl S
1 1 1
Cartesian
-0.112 -0.097 0.057 In
-2.621 -4.750 0.666 Cl
0.601 -2.096 1.433 S
```

Results
volume: 27.80 A^3/atom
density of states at the Fermi level: 0.00 states/eV/cell
E: -3.694 eV per atom
formation energy from raw total energies: -2.37 eV/f.u.



(3)
Below is InSCl2 after structural relaxation, with properties calculated at the GGA-PBE level.

Cell and atoms, written as POSCAR:
```
InSCl2
1.0
-4.316 1.004 8.397
7.575 -3.731 4.340
2.633 0.951 6.607
In Cl S
2 4 2
Cartesian
-0.026 0.296 10.686 In
0.000 0.000 0.000 In
-1.634 1.510 12.398 Cl
-1.727 0.547 8.677 Cl
2.083 0.240 9.093 Cl
1.173 -1.112 12.575 Cl
5.919 -2.071 8.657 S
1.630 -1.363 6.368 S
```

Results
volume: 28.55 A^3/atom
density of states at the Fermi level: 2.35 states/eV/cell
E: -2.923 eV per atom
formation energy from raw total energies: -1.13 eV/f.u.



(4)
Below is In3SCl7 after structural relaxation, with properties calculated at the GGA-PBE level.

Cell and atoms, written as POSCAR:
```
In3SCl7
1.0
6.478 0.000 0.000
0.000 7.575 0.000
0.000 -3.788 6.560
Cl In S
7 3 1
Cartesian
3.695 3.788 4.279 Cl
0.061 0.000 2.276 Cl
0.061 1.816 5.422 Cl
3.695 5.600 1.141 Cl
3.695 1.976 1.141 Cl
0.031 3.788 2.187 Cl
0.061 -1.816 5.422 Cl
5.012 0.000 6.457 In
5.012 1.804 3.332 In
5.012 -1.804 3.332 In
3.564 0.000 4.373 S
```

Results
volume: 29.27 A^3/atom
density of states at the Fermi level: 0.00 states/eV/cell
E: -3.302 eV per atom
formation energy from raw total energies: -11.05 eV/f.u.



(5)
Below is InS3Cl3 after structural relaxation, with properties calculated at the GGA-PBE level.

Cell and atoms, written as POSCAR:
```
InS3Cl3
1.0
-5.843 3.836 -4.633
-8.121 -4.608 -4.100
-8.226 1.328 3.588
S Cl In
6 6 2
Cartesian
-6.043 0.947 2.307 S
-12.611 3.747 -0.660 S
-2.093 -0.534 -0.630 S
-20.097 1.090 -4.515 S
-16.147 -0.391 -7.452 S
-9.579 -3.191 -4.485 S
-17.151 -1.519 -3.952 Cl
-9.110 0.385 -5.311 Cl
-5.039 2.075 -1.193 Cl
-13.080 0.171 0.166 Cl
-11.988 2.579 -4.258 Cl
-10.202 -2.023 -0.886 Cl
-4.649 -0.274 -1.200 In
-17.541 0.830 -3.945 In
```

Results
volume: 37.96 A^3/atom
density of states at the Fermi level: 0.00 states/eV/cell
E: -3.358 eV per atom
formation energy from raw total energies: -2.85 eV/f.u.



(6)
Below is In4SCl3 after structural relaxation, with properties calculated at the GGA-PBE level.

Cell and atoms, written as POSCAR:
```
In4SCl3
1.0
-1.406 -4.728 -2.924
-1.846 -2.755 5.343
-12.462 4.830 -1.816
In S Cl
8 2 6
Cartesian
-3.004 -0.158 0.980 In
-8.045 -0.462 3.891 In
-10.686 2.819 -0.139 In
-10.737 -1.300 0.921 In
-0.917 -2.852 -1.295 In
-5.957 -3.152 1.618 In
-1.247 -2.032 3.155 In
-7.716 -1.287 -0.562 In
-0.207 -0.478 0.149 S
-8.754 -2.835 2.447 S
-1.917 -4.347 1.597 Cl
-7.046 1.027 0.995 Cl
-5.289 -1.275 3.884 Cl
-10.531 0.756 3.120 Cl
-10.892 0.762 -2.339 Cl
-3.672 -2.036 -1.286 Cl
```

Results
volume: 30.40 A^3/atom
density of states at the Fermi level: 1.97 states/eV/cell
E: -3.202 eV per atom
formation energy from raw total energies: -5.00 eV/f.u.



(7)
Below is InSCl2 after structural relaxation, with properties calculated at the GGA-PBE level.

Cell and atoms, written as POSCAR:
```
InSCl2
1.0
2.570 -8.023 0.197
2.438 -6.878 -4.214
6.010 -5.671 -1.652
In S Cl
1 1 2
Cartesian
5.509 -10.286 -2.834 In
0.000 0.000 0.000 S
9.963 -18.602 -5.126 Cl
1.055 -1.970 -0.543 Cl
```

Results
volume: 36.03 A^3/atom
density of states at the Fermi level: 6.42 states/eV/cell
E: -2.716 eV per atom
formation energy from raw total energies: -0.31 eV/f.u.



(8)
Below is InSCl3 after structural relaxation, with properties calculated at the GGA-PBE level.

Cell and atoms, written as POSCAR:
```
InSCl3
1.0
12.865 -1.310 1.014
0.668 7.676 -1.241
-0.957 -1.428 7.613
Cl S In
12 4 4
Cartesian
2.112 0.728 1.097 Cl
10.662 0.379 7.477 Cl
11.547 5.391 2.613 Cl
4.039 4.903 5.744 Cl
5.131 6.080 2.062 Cl
4.227 1.081 6.935 Cl
8.538 0.035 1.641 Cl
8.349 3.858 0.450 Cl
7.446 -1.141 5.324 Cl
10.465 4.210 6.288 Cl
1.030 -0.453 4.772 Cl
1.914 4.560 -0.091 Cl
5.458 2.269 3.279 S
0.696 3.379 3.546 S
11.881 1.559 3.840 S
7.119 2.669 4.107 S
10.081 5.370 0.807 In
8.922 -1.124 7.122 In
2.496 -0.432 6.579 In
3.655 6.062 0.263 In
```

Results
volume: 37.03 A^3/atom
E: -3.186 eV per atom
formation energy from raw total energies: -3.52 eV/f.u.



(9)
Below is In2SCl2 after structural relaxation, with properties calculated at the GGA-PBE level.

Cell and atoms, written as POSCAR:
```
In2SCl2
1.0
-2.577 -6.464 -1.959
3.914 0.347 -6.293
11.217 -0.949 6.923
S Cl In
4 8 8
Cartesian
5.017 -5.409 -2.883 S
7.536 -1.657 1.553 S
5.482 -4.957 1.804 S
7.071 -2.109 -3.134 S
12.774 -3.880 1.174 Cl
-0.221 -3.186 -2.504 Cl
11.489 -7.112 0.188 Cl
8.274 -4.435 -0.658 Cl
4.279 -2.631 -0.671 Cl
2.095 -5.942 -0.211 Cl
1.064 0.046 -1.518 Cl
10.458 -1.123 -1.119 Cl
4.519 -5.511 -0.428 In
8.034 -1.555 -0.902 In
11.345 -1.729 2.697 In
8.199 -5.126 4.705 In
4.354 -1.940 -6.035 In
5.139 -2.338 1.627 In
1.208 -5.337 -4.027 In
7.414 -4.728 -2.957 In
```

Results
volume: 32.78 A^3/atom
E: -3.441 eV per atom
formation energy from raw total energies: -3.91 eV/f.u.